# 1
Below is a geometry-optimized Ag2P3O9 structure, with properties calculated at the GGA-PBE level.

Geometry as POSCAR:
```
Ag2P3O9
1.0
6.726 0.000 0.000
-3.363 5.825 0.000
0.000 0.000 9.860
Ag P O
4 6 18
Direct
0.667 0.333 0.500
0.667 0.333 0.000
0.333 0.667 0.000
0.333 0.667 0.500
0.744 0.744 0.250
0.256 0.000 0.250
0.000 0.256 0.250
0.000 0.744 0.750
0.744 0.000 0.750
0.256 0.256 0.750
0.783 0.783 0.750
0.629 0.629 0.382
0.629 0.629 0.118
0.217 0.000 0.750
0.000 0.371 0.118
0.000 0.371 0.382
0.371 0.000 0.118
0.371 0.000 0.382
0.000 0.783 0.250
0.000 0.217 0.750
0.629 0.000 0.882
0.629 0.000 0.618
0.000 0.629 0.618
0.000 0.629 0.882
0.783 0.000 0.250
0.371 0.371 0.618
0.371 0.371 0.882
0.217 0.217 0.250
```

VASP energy (eV per atom): -6.36
SG: P6_3/mcm (193)
DOS at the Fermi energy (states/eV/cell): 13.8

# 2
Below is a geometry-optimized AgPO structure, with properties calculated at the GGA-PBE level.

Geometry as POSCAR:
```
AgPO
1.0
-3.374 -0.434 -2.409
-0.701 -4.864 -0.441
-5.168 2.471 2.720
O Ag P
2 2 2
Direct
0.224 0.783 0.846
0.916 0.549 0.486
0.351 0.190 0.517
0.656 0.559 0.103
0.578 0.870 0.695
0.744 0.012 0.007
```

VASP energy (eV per atom): -5.04
SG: P1 (1)

# 3
Below is a geometry-optimized AgP3O structure, with properties calculated at the GGA-PBE level.

Geometry as POSCAR:
```
AgP3O
1.0
-2.274 -3.334 1.283
0.786 -1.951 -3.675
3.484 -1.735 1.667
P O Ag
3 1 1
Direct
0.000 0.500 0.000
0.000 0.000 0.500
0.500 0.000 0.000
0.000 0.000 0.000
0.500 0.500 0.500
```

VASP energy (eV per atom): -4.13
SG: Pm-3m (221)
DOS at the Fermi energy (states/eV/cell): 4.2
Polymorph energy (0 for the lowest one) (eV per atom): 0.0000

# 4
Below is a geometry-optimized Ag3PO4 structure, with properties calculated at the GGA-PBE level.

Geometry as POSCAR:
```
Ag3PO4
1.0
4.683 0.000 2.618
2.323 5.007 1.342
-0.083 -0.615 5.646
P O Ag
1 4 3
Direct
0.500 0.483 0.517
0.313 0.540 0.834
0.687 0.166 0.460
0.262 0.598 0.402
0.738 0.598 0.402
0.713 0.820 0.754
0.000 0.898 0.102
0.287 0.246 0.180
```

VASP energy (eV per atom): -5.18
SG: Imm2 (44)
DOS at the Fermi energy (states/eV/cell): 0.7
Polymorph energy (0 for the lowest one) (eV per atom): 0.1034

# 5
Below is a geometry-optimized AgP2O2 structure, with properties calculated at the GGA-PBE level.

Geometry as POSCAR:
```
AgP2O2
1.0
3.484 0.000 0.000
0.000 3.484 0.000
0.000 0.000 5.038
P O Ag
2 2 1
Direct
0.000 0.000 0.000
0.000 0.000 0.500
0.000 0.500 0.000
0.500 0.000 0.000
0.500 0.500 0.500
```

VASP energy (eV per atom): -5.08
SG: P4/mmm (123)
DOS at the Fermi energy (states/eV/cell): 1.7
Polymorph energy (0 for the lowest one) (eV per atom): 0.0000

# 6
Below is a geometry-optimized Ag2PO2 structure, with properties calculated at the GGA-PBE level.

Geometry as POSCAR:
```
Ag2PO2
1.0
0.000 5.233 9.331
3.973 0.000 9.331
3.973 5.233 0.000
Ag P O
8 4 8
Direct
0.472 0.817 0.270
0.817 0.472 0.440
0.270 0.440 0.472
0.778 0.433 0.980
0.440 0.270 0.817
0.433 0.778 0.810
0.980 0.810 0.778
0.810 0.980 0.433
0.125 0.125 0.125
0.125 0.125 0.625
0.125 0.625 0.125
0.625 0.125 0.125
0.022 0.067 0.229
0.067 0.022 0.681
0.229 0.681 0.022
0.228 0.183 0.021
0.681 0.229 0.067
0.183 0.228 0.569
0.021 0.569 0.228
0.569 0.021 0.183
```

VASP energy (eV per atom): -4.52
SG: Fddd (70)
DOS at the Fermi energy (states/eV/cell): 4.7

# 7
Below is a geometry-optimized AgPO4 structure, with properties calculated at the GGA-PBE level.

Geometry as POSCAR:
```
AgPO4
1.0
-0.202 -0.433 5.080
-4.071 -8.286 -3.429
15.135 -3.486 -2.270
Ag P O
8 8 32
Direct
0.625 0.762 0.971
0.393 0.739 0.529
0.375 0.238 0.029
0.000 0.500 0.000
0.607 0.261 0.471
0.580 0.251 0.250
0.420 0.749 0.750
0.000 0.000 0.500
0.383 0.421 0.870
0.813 0.590 0.614
0.617 0.579 0.130
0.892 0.090 0.114
0.408 0.921 0.370
0.592 0.079 0.630
0.187 0.410 0.386
0.108 0.910 0.886
0.908 0.612 0.107
0.163 0.072 0.923
0.311 0.113 0.607
0.930 0.676 0.549
0.422 0.617 0.052
0.028 0.600 0.698
0.203 0.823 0.951
0.223 0.147 0.139
0.070 0.324 0.451
0.664 0.427 0.577
0.490 0.416 0.131
0.247 0.840 0.279
0.837 0.928 0.077
0.566 0.649 0.639
0.092 0.388 0.893
0.510 0.584 0.869
0.372 0.341 0.779
0.797 0.177 0.049
0.557 0.916 0.632
0.753 0.160 0.721
0.434 0.351 0.361
0.747 0.118 0.552
0.777 0.853 0.861
0.775 0.103 0.199
0.336 0.573 0.423
0.689 0.887 0.393
0.628 0.659 0.221
0.253 0.882 0.448
0.578 0.383 0.948
0.225 0.897 0.801
0.972 0.400 0.302
0.443 0.084 0.368
```

VASP energy (eV per atom): -5.82
SG: P-1 (2)
DOS at the Fermi energy (states/eV/cell): 13.1
Polymorph energy (0 for the lowest one) (eV per atom): 0.1221

# 8
Below is a geometry-optimized AgP2O2 structure, with properties calculated at the GGA-PBE level.

Geometry as POSCAR:
```
AgP2O2
1.0
-1.672 3.521 0.496
-2.879 -1.019 -2.472
-2.646 -1.794 3.820
P O Ag
2 2 1
Direct
0.500 0.500 0.500
0.000 0.000 0.500
0.000 0.500 0.000
0.500 0.000 0.000
0.000 0.000 0.000
```

VASP energy (eV per atom): -3.82
SG: P4/mmm (123)
DOS at the Fermi energy (states/eV/cell): 3.1
Polymorph energy (0 for the lowest one) (eV per atom): 1.2619

| no. | size of the total moment (μB/f.u.) |
| --- | --- |
| 1 | 0.00 |
| 2 | 0.00 |
| 3 | 0.00 |
| 4 | 0.00 |
| 5 | 0.00 |
| 6 | 0.00 |
| 7 | 0.00 |
| 8 | 0.00 |